The following is a DFT calculation (GGA-PBEsol) of an optimized crystal structure of Re2RuRh.

Cell: 2.705 2.705 7.677 Å, 90.00 90.00 90.00°
Space group P4mm (No. 99)
Inequivalent atoms, fractional coordinates:
Re (0.000, 0.000, 0.000) [1 per cell]
Re (0.500, 0.500, 0.268) [1 per cell]
Ru (0.500, 0.500, 0.768) [1 per cell]
Rh (0.000, 0.000, 0.506) [1 per cell]

Summary:
Raw total energy = -11.25 eV/atom

---

The following is a DFT calculation (GGA-PBEsol) of an optimized crystal structure of BaFeAs2Pb.

Cell: 4.880 4.880 5.110 Å, 90.00 90.00 90.00°
Space group P4/mmm (No. 123)
Inequivalent atoms, fractional coordinates:
Ba (0.000, 0.000, 0.000) [1 per cell]
Fe (0.500, 0.500, 0.500) [1 per cell]
As (0.000, 0.500, 0.500) [2 per cell]
Pb (0.500, 0.500, 0.000) [1 per cell]

Summary:
Raw total energy = -5.21 eV/atom

---

The following is a DFT calculation (GGA-PBEsol) of an optimized crystal structure of TaTiTlO5.

Cell: 6.428 3.793 18.755 Å, 90.00 90.00 90.00°
Space group Pnma (No. 62)
Inequivalent atoms, fractional coordinates:
Ta (0.226, 0.250, 0.107) [4 per cell]
Ti (0.180, 0.250, 0.466) [4 per cell]
Tl (0.229, 0.250, 0.799) [4 per cell]
O (0.035, 0.250, 0.381) [4 per cell]
O (0.062, 0.750, 0.931) [4 per cell]
O (0.145, 0.750, 0.492) [4 per cell]
O (0.159, 0.250, 0.201) [4 per cell]
O (0.241, 0.750, 0.078) [4 per cell]

Summary:
Formation energy (no corrections) = -2.54 eV/atom

---

The following is a DFT calculation (GGA-PBEsol) of an optimized crystal structure of P2WSeS.

Cell: 4.493 4.493 4.577 Å, 90.00 90.00 90.00°
Space group P4/mmm (No. 123)
Inequivalent atoms, fractional coordinates:
P (0.000, 0.500, 0.000) [2 per cell]
W (0.000, 0.000, 0.500) [1 per cell]
Se (0.500, 0.500, 0.000) [1 per cell]
S (0.500, 0.500, 0.500) [1 per cell]

Summary:
Formation energy (no corrections) = 1.58 eV/atom

---

The following is a DFT calculation (GGA-PBEsol) of an optimized crystal structure of NaAsF6.

Cell: 8.061 8.061 8.061 Å, 90.00 90.00 90.00°
Space group Fm-3m (No. 225)
Inequivalent atoms, fractional coordinates:
Na (0.000, 0.000, 0.000) [4 per cell]
As (0.000, 0.000, 0.500) [4 per cell]
F (0.000, 0.000, 0.282) [24 per cell]

Summary:
Formation energy (no corrections) = -2.40 eV/atom

---

The following is a DFT calculation (GGA-PBEsol) of an optimized crystal structure of AlCrIn.

Cell: 6.179 6.179 6.179 Å, 90.00 90.00 90.00°
Space group F-43m (No. 216)
Inequivalent atoms, fractional coordinates:
Al (0.000, 0.000, 0.000) [4 per cell]
Cr (0.250, 0.250, 0.750) [4 per cell]
In (0.000, 0.000, 0.500) [4 per cell]

Summary:
Raw total energy = -5.34 eV/atom

---

The following is a DFT calculation (GGA-PBEsol) of an optimized crystal structure of ZrReH2.

Cell: 5.476 5.476 5.476 Å, 90.00 90.00 90.00°
Space group Fm-3m (No. 225)
Inequivalent atoms, fractional coordinates:
Zr (0.000, 0.000, 0.000) [4 per cell]
Re (0.000, 0.000, 0.500) [4 per cell]
H (0.250, 0.250, 0.250) [8 per cell]

Summary:
Raw total energy = -6.83 eV/atom

---

The following is a DFT calculation (GGA-PBEsol) of an optimized crystal structure of Mg2Zn.

Cell: 10.863 3.050 7.238 Å, 90.00 107.94 90.00°
Space group C2/m (No. 12)
Inequivalent atoms, fractional coordinates:
Mg (0.139, 0.000, 0.036) [4 per cell]
Mg (0.164, 0.000, 0.612) [4 per cell]
Zn (0.034, 0.500, 0.284) [4 per cell]

Summary:
Raw total energy = -1.70 eV/atom

---

The following is a DFT calculation (GGA-PBEsol) of an optimized crystal structure of MgGeRhI2.

Cell: 5.575 5.575 4.926 Å, 90.00 90.00 90.00°
Space group P4/mmm (No. 123)
Inequivalent atoms, fractional coordinates:
Mg (0.000, 0.000, 0.000) [1 per cell]
Ge (0.000, 0.000, 0.500) [1 per cell]
Rh (0.500, 0.500, 0.000) [1 per cell]
I (0.000, 0.500, 0.500) [2 per cell]

Summary:
Formation energy (no corrections) = 0.88 eV/atom

---

The following is a DFT calculation (GGA-PBEsol) of an optimized crystal structure of CsSbPb.

Cell: 13.709 4.586 9.134 Å, 90.00 121.97 90.00°
Space group C2/m (No. 12)
Inequivalent atoms, fractional coordinates:
Cs (0.059, 0.000, 0.336) [4 per cell]
Sb (0.188, 0.500, 0.738) [4 per cell]
Pb (0.158, 0.500, 0.051) [4 per cell]

Summary:
Formation energy (no corrections) = -0.32 eV/atom

---

The following is a DFT calculation (GGA-PBEsol) of an optimized crystal structure of Li2O.

Cell: 5.055 3.088 5.826 Å, 90.00 90.00 90.00°
Space group Pnma (No. 62)
Inequivalent atoms, fractional coordinates:
Li (0.012, 0.250, 0.160) [4 per cell]
Li (0.142, 0.250, 0.580) [4 per cell]
O (0.246, 0.750, 0.399) [4 per cell]

Summary:
Formation energy (no corrections) = -1.78 eV/atom

---

The following is a DFT calculation (GGA-PBEsol) of an optimized crystal structure of LaTaSb2.

Cell: 4.2059 4.2059 20.7351 Å, 90.00 90.00 120.00°
Space group R-3m (No. 166, hexagonal axes)
Inequivalent atoms, fractional coordinates:
La (0.0000, 0.0000, 0.0000) [3 per cell]
Ta (0.0000, 0.0000, 0.5000) [3 per cell]
Sb (0.0000, 0.0000, 0.2366) [6 per cell]

Summary:
Formation energy (no corrections) = -0.41 eV/atom

---

The following is a DFT calculation (GGA-PBEsol) of an optimized crystal structure of YCd2Ag.

Cell: 4.895 4.895 6.943 Å, 90.00 90.00 90.00°
Space group I-4m2 (No. 119)
Inequivalent atoms, fractional coordinates:
Y (0.000, 0.000, 0.000) [2 per cell]
Cd (0.000, 0.000, 0.500) [2 per cell]
Cd (0.000, 0.500, 0.750) [2 per cell]
Ag (0.000, 0.500, 0.250) [2 per cell]

Summary:
Raw total energy = -3.46 eV/atom

---

The following is a DFT calculation (GGA-PBEsol) of an optimized crystal structure of TaBeNi6.

Cell: 6.953 10.000 9.976 Å, 90.00 90.00 90.00°
Space group Cmmm (No. 65)
Inequivalent atoms, fractional coordinates:
Ta (0.000, 0.000, 0.242) [4 per cell]
Ta (0.000, 0.243, 0.500) [4 per cell]
Be (0.000, 0.236, 0.000) [4 per cell]
Be (0.000, 0.500, 0.237) [4 per cell]
Ni (0.000, 0.000, 0.000) [2 per cell]
Ni (0.000, 0.000, 0.500) [2 per cell]
Ni (0.000, 0.251, 0.242) [8 per cell]
Ni (0.000, 0.500, 0.000) [2 per cell]
Ni (0.000, 0.500, 0.500) [2 per cell]
Ni (0.240, 0.373, 0.120) [16 per cell]
Ni (0.240, 0.378, 0.370) [16 per cell]

Summary:
Raw total energy = -6.98 eV/atom

---

The following is a DFT calculation (GGA-PBEsol) of an optimized crystal structure of RhAuNF2.

Cell: 4.493 4.493 3.682 Å, 90.00 90.00 90.00°
Space group P4/mmm (No. 123)
Inequivalent atoms, fractional coordinates:
Rh (0.000, 0.000, 0.000) [1 per cell]
Au (0.500, 0.500, 0.500) [1 per cell]
N (0.500, 0.500, 0.000) [1 per cell]
F (0.000, 0.500, 0.500) [2 per cell]

Summary:
Formation energy (no corrections) = 0.81 eV/atom

---

The following is a DFT calculation (GGA-PBEsol) of an optimized crystal structure of SrBe2Os.

Cell: 3.997 5.165 6.548 Å, 90.00 90.00 90.00°
Space group Immm (No. 71)
Inequivalent atoms, fractional coordinates:
Sr (0.000, 0.000, 0.000) [2 per cell]
Be (0.000, 0.500, 0.174) [4 per cell]
Os (0.000, 0.000, 0.500) [2 per cell]

Summary:
Raw total energy = -4.88 eV/atom

---

The following is a DFT calculation (GGA-PBEsol) of an optimized crystal structure of Mn3TeN.

Cell: 3.910 3.910 3.910 Å, 90.00 90.00 90.00°
Space group Pm-3m (No. 221)
Inequivalent atoms, fractional coordinates:
Mn (0.000, 0.000, 0.500) [3 per cell]
Te (0.500, 0.500, 0.500) [1 per cell]
N (0.000, 0.000, 0.000) [1 per cell]

Summary:
Formation energy (no corrections) = -0.01 eV/atom

---

The following is a DFT calculation (GGA-PBEsol) of an optimized crystal structure of Ca2FeRe.

Cell: 3.076 3.076 8.887 Å, 90.00 90.07 90.00°
Space group Pm (No. 6)
Inequivalent atoms, fractional coordinates:
Ca (0.000, 0.000, 0.000) [1 per cell]
Ca (0.498, 0.500, 0.389) [1 per cell]
Fe (0.499, 0.500, 0.761) [1 per cell]
Re (0.999, 0.000, 0.641) [1 per cell]

Summary:
Raw total energy = -6.25 eV/atom

---

The following is a DFT calculation (GGA-PBEsol) of an optimized crystal structure of Sr4Mn3Cl2O8.

Cell: 3.849 3.849 31.811 Å, 90.00 90.00 90.00°
Space group I4/mmm (No. 139)
Inequivalent atoms, fractional coordinates:
Sr (0.000, 0.000, 0.058) [4 per cell]
Sr (0.000, 0.000, 0.179) [4 per cell]
Mn (0.000, 0.000, 0.380) [4 per cell]
Mn (0.000, 0.000, 0.500) [2 per cell]
Cl (0.000, 0.000, 0.284) [4 per cell]
O (0.000, 0.000, 0.439) [4 per cell]
O (0.000, 0.500, 0.000) [4 per cell]
O (0.000, 0.500, 0.128) [8 per cell]

Summary:
Formation energy (no corrections) = -2.34 eV/atom

---

The following is a DFT calculation (GGA-PBEsol) of an optimized crystal structure of YHfFe3.

Cell: 4.563 4.563 4.563 Å, 90.00 90.00 90.00°
Space group Pm-3m (No. 221)
Inequivalent atoms, fractional coordinates:
Y (0.000, 0.000, 0.000) [1 per cell]
Hf (0.500, 0.500, 0.500) [1 per cell]
Fe (0.000, 0.500, 0.500) [3 per cell]

Summary:
Raw total energy = -7.91 eV/atom